First-principles (PBE) data for a relaxed structure of PdSe2Br, as listed in the Alexandria database.

## Properties
As for the energy: -3.4800 eV per atom. As for the total magnetization: 0.0 μB per formula unit. The formation energy from raw total energies comes out at -0.02 eV per atom. The value obtained for the density of states at the Fermi level is 3.7 states/eV/cell. Its crystal system is orthorhombic. As for the excess energy over the best structure of this formula in the dataset: 91 kJ/mol of formula units. Its space-group type is Cmcm (63).

Structure (CIF):
```
data_PdSe2Br
_chemical_formula_sum 'Pd2 Se4 Br2'
_space_group_name_H-M_alt 'P 1'
_space_group_IT_number 1
_space_group_name_Hall 'P 1'
_cell_length_a 13.2957
_cell_length_b 13.2957
_cell_length_c 3.9733
_cell_angle_alpha 90.00
_cell_angle_beta 90.00
_cell_angle_gamma 162.79
loop_
_atom_site_label
_atom_site_fract_x
_atom_site_fract_y
_atom_site_fract_z
Pd1 0.1932 0.8068 0.7500
Pd2 0.8068 0.1932 0.2500
Se1 0.2939 0.7061 0.7500
Se2 0.3666 0.6334 0.2500
Se3 0.6334 0.3666 0.7500
Se4 0.7061 0.2939 0.2500
Br1 0.4398 0.5602 0.7500
Br2 0.5602 0.4398 0.2500
```